1.
! Ba2PuO5 | Alexandria | PBE-GGA | relaxed; values from VASP
&SYSTEM
  ibrav = 0, nat = 8, ntyp = 3
/
ATOMIC_SPECIES
Ba 137.33 Ba.upf
Pu 244.00 Pu.upf
O 16.00 O.upf
ATOMIC_POSITIONS crystal
Ba 0.000 0.500 0.000
Ba 0.500 0.000 0.000
Pu 0.000 0.000 0.500
O 0.000 0.000 0.000
O 0.232 0.232 0.500
O 0.232 0.768 0.500
O 0.768 0.232 0.500
O 0.768 0.768 0.500
CELL_PARAMETERS angstrom
6.160 0.000 0.000
0.000 6.160 0.000
0.000 0.000 4.176
! **E above lowest polymorph**: 0.122 eV/atom
! **Symmetry**: P4/mmm, No. 123
! **Spin magnetization**: 0.250 μB/atom
! **E_form (uncorrected)**: -2.6921 eV per atom

=====

2.
! Pr5Nd3Hg12 | Alexandria | PBE-GGA | relaxed; values from VASP
&SYSTEM
  ibrav = 0, nat = 80, ntyp = 3
/
ATOMIC_SPECIES
Pr 140.91 Pr.upf
Nd 144.24 Nd.upf
Hg 200.59 Hg.upf
ATOMIC_POSITIONS crystal
Pr 0.000 0.000 0.000
Pr 0.000 0.000 0.500
Pr 0.000 0.500 0.000
Pr 0.000 0.500 0.500
Pr 0.125 0.750 0.875
Pr 0.125 0.875 0.250
Pr 0.250 0.125 0.875
Pr 0.250 0.625 0.375
Pr 0.375 0.250 0.625
Pr 0.375 0.625 0.750
Pr 0.500 0.000 0.000
Pr 0.500 0.000 0.500
Pr 0.500 0.500 0.000
Pr 0.500 0.500 0.500
Pr 0.625 0.375 0.250
Pr 0.625 0.750 0.375
Pr 0.750 0.375 0.625
Pr 0.750 0.875 0.125
Pr 0.875 0.125 0.750
Pr 0.875 0.250 0.125
Nd 0.125 0.250 0.375
Nd 0.125 0.375 0.750
Nd 0.250 0.375 0.125
Nd 0.250 0.875 0.625
Nd 0.375 0.125 0.250
Nd 0.375 0.750 0.125
Nd 0.625 0.250 0.875
Nd 0.625 0.875 0.750
Nd 0.750 0.125 0.375
Nd 0.750 0.625 0.875
Nd 0.875 0.625 0.250
Nd 0.875 0.750 0.625
Hg 0.071 0.230 0.148
Hg 0.071 0.341 0.923
Hg 0.077 0.648 0.418
Hg 0.077 0.929 0.659
Hg 0.082 0.730 0.659
Hg 0.082 0.852 0.423
Hg 0.148 0.071 0.230
Hg 0.148 0.577 0.918
Hg 0.159 0.230 0.582
Hg 0.159 0.429 0.577
Hg 0.230 0.148 0.071
Hg 0.230 0.582 0.159
Hg 0.270 0.341 0.918
Hg 0.270 0.429 0.352
Hg 0.341 0.918 0.270
Hg 0.341 0.923 0.071
Hg 0.352 0.270 0.429
Hg 0.352 0.582 0.923
Hg 0.418 0.077 0.648
Hg 0.418 0.841 0.770
Hg 0.423 0.082 0.852
Hg 0.423 0.841 0.571
Hg 0.429 0.352 0.270
Hg 0.429 0.577 0.159
Hg 0.571 0.423 0.841
Hg 0.571 0.648 0.730
Hg 0.577 0.159 0.429
Hg 0.577 0.918 0.148
Hg 0.582 0.159 0.230
Hg 0.582 0.923 0.352
Hg 0.648 0.418 0.077
Hg 0.648 0.730 0.571
Hg 0.659 0.077 0.929
Hg 0.659 0.082 0.730
Hg 0.730 0.571 0.648
Hg 0.730 0.659 0.082
Hg 0.770 0.418 0.841
Hg 0.770 0.852 0.929
Hg 0.841 0.571 0.423
Hg 0.841 0.770 0.418
Hg 0.852 0.423 0.082
Hg 0.852 0.929 0.770
Hg 0.918 0.148 0.577
Hg 0.918 0.270 0.341
Hg 0.923 0.071 0.341
Hg 0.923 0.352 0.582
Hg 0.929 0.659 0.077
Hg 0.929 0.770 0.852
CELL_PARAMETERS angstrom
-8.912 8.912 8.912
8.912 -8.912 8.912
8.912 8.912 -8.912
! **Energy relative to the elements**: -0.079 eV/atom
! **Symmetry**: Ia-3d, No. 230
! **Spin magnetization**: 0.000 μB/atom

=====

3.
! Sr4TlBi | Alexandria | PBE-GGA | relaxed; values from VASP
&SYSTEM
  ibrav = 0, nat = 12, ntyp = 3
/
ATOMIC_SPECIES
Sr 87.62 Sr.upf
Tl 204.38 Tl.upf
Bi 208.98 Bi.upf
ATOMIC_POSITIONS crystal
Sr 0.249 0.250 0.091
Sr 0.250 0.501 0.742
Sr 0.250 0.750 0.422
Sr 0.250 0.999 0.742
Sr 0.750 0.001 0.258
Sr 0.750 0.250 0.578
Sr 0.750 0.499 0.258
Sr 0.751 0.750 0.909
Tl 0.249 0.250 0.417
Tl 0.751 0.750 0.583
Bi 0.251 0.750 0.080
Bi 0.749 0.250 0.920
CELL_PARAMETERS angstrom
5.840 0.000 0.000
0.000 7.778 0.000
-0.022 0.000 10.088
! **Energy relative to the elements**: -0.505 eV/atom
! **E above lowest polymorph**: 0.000 eV/atom
! **Symmetry**: P2_1/m, No. 11
! **Spin magnetization**: 0.000 μB/atom

=====

4.
! CsNa2HgBi | Alexandria | PBE-GGA | relaxed; values from VASP
&SYSTEM
  ibrav = 0, nat = 5, ntyp = 4
/
ATOMIC_SPECIES
Cs 132.91 Cs.upf
Na 22.99 Na.upf
Hg 200.59 Hg.upf
Bi 208.98 Bi.upf
ATOMIC_POSITIONS crystal
Cs 0.000 0.000 0.000
Na 0.000 0.500 0.500
Na 0.500 0.000 0.500
Hg 0.500 0.500 0.000
Bi 0.500 0.500 0.500
CELL_PARAMETERS angstrom
6.120 0.000 0.000
0.000 6.120 0.000
0.000 0.000 6.148
! **Energy relative to the elements**: -0.172 eV/atom
! **E above lowest polymorph**: 0.013 eV/atom
! **Symmetry**: P4/mmm, No. 123
! **Spin magnetization**: 0.000 μB/atom

=====

5.
! TbSm6Y2Er3 | Alexandria | PBE-GGA | relaxed; values from VASP
&SYSTEM
  ibrav = 0, nat = 12, ntyp = 4
/
ATOMIC_SPECIES
Tb 158.93 Tb.upf
Sm 150.36 Sm.upf
Y 88.91 Y.upf
Er 167.26 Er.upf
ATOMIC_POSITIONS crystal
Tb 0.000 0.000 0.000
Sm 0.084 0.417 0.252
Sm 0.249 0.249 0.748
Sm 0.417 0.084 0.252
Sm 0.583 0.916 0.748
Sm 0.751 0.751 0.252
Sm 0.916 0.583 0.748
Y 0.333 0.667 0.000
Y 0.667 0.333 0.000
Er 0.167 0.833 0.500
Er 0.500 0.500 0.500
Er 0.833 0.167 0.500
CELL_PARAMETERS angstrom
3.108 -5.383 0.000
3.108 5.383 0.000
-2.059 0.000 11.624
! **Energy relative to the elements**: 0.015 eV/atom
! **Symmetry**: C2/m, No. 12
! **Spin magnetization**: 0.000 μB/atom

=====

6.
! CePaNi2 | Alexandria | PBE-GGA | relaxed; values from VASP
&SYSTEM
  ibrav = 0, nat = 4, ntyp = 3
/
ATOMIC_SPECIES
Ce 140.12 Ce.upf
Pa 231.04 Pa.upf
Ni 58.69 Ni.upf
ATOMIC_POSITIONS crystal
Ce 0.000 0.000 0.000
Pa 0.500 0.500 0.000
Ni 0.000 0.500 0.500
Ni 0.500 0.000 0.500
CELL_PARAMETERS angstrom
4.311 0.000 0.000
0.000 4.311 0.000
0.000 0.000 3.953
! **Energy relative to the elements**: -0.152 eV/atom
! **E above lowest polymorph**: 0.077 eV/atom
! **Symmetry**: P4/mmm, No. 123
! **Spin magnetization**: 0.000 μB/atom

=====

7.
! Rb2NiBi2 | Alexandria | PBE-GGA | relaxed; values from VASP
&SYSTEM
  ibrav = 0, nat = 5, ntyp = 3
/
ATOMIC_SPECIES
Rb 85.47 Rb.upf
Ni 58.69 Ni.upf
Bi 208.98 Bi.upf
ATOMIC_POSITIONS crystal
Rb 0.095 0.095 0.000
Rb 0.905 0.905 0.000
Ni 0.500 0.500 0.000
Bi 0.250 0.750 0.500
Bi 0.750 0.250 0.500
CELL_PARAMETERS angstrom
-2.249 2.249 10.671
2.249 -2.249 10.671
2.249 2.249 -10.671
! **Energy relative to the elements**: 0.381 eV/atom
! **E above lowest polymorph**: 0.416 eV/atom
! **Symmetry**: I4/mmm, No. 139
! **Spin magnetization**: 0.221 μB/atom

=====

8.
! TmZr2Al | Alexandria | PBE-GGA | relaxed; values from VASP
&SYSTEM
  ibrav = 0, nat = 4, ntyp = 3
/
ATOMIC_SPECIES
Tm 168.93 Tm.upf
Zr 91.22 Zr.upf
Al 26.98 Al.upf
ATOMIC_POSITIONS crystal
Tm 0.000 0.000 0.000
Zr 0.500 0.500 0.281
Zr 0.500 0.500 0.719
Al 0.000 0.000 0.500
CELL_PARAMETERS angstrom
3.192 0.000 0.000
0.000 3.192 0.000
0.000 0.000 8.934
! **Energy relative to the elements**: -0.144 eV/atom
! **E above lowest polymorph**: 0.070 eV/atom
! **Symmetry**: P4/mmm, No. 123
! **Spin magnetization**: 0.000 μB/atom

=====

Repeat the fourth record exactly.
! CsNa2HgBi | Alexandria | PBE-GGA | relaxed; values from VASP
&SYSTEM
  ibrav = 0, nat = 5, ntyp = 4
/
ATOMIC_SPECIES
Cs 132.91 Cs.upf
Na 22.99 Na.upf
Hg 200.59 Hg.upf
Bi 208.98 Bi.upf
ATOMIC_POSITIONS crystal
Cs 0.000 0.000 0.000
Na 0.000 0.500 0.500
Na 0.500 0.000 0.500
Hg 0.500 0.500 0.000
Bi 0.500 0.500 0.500
CELL_PARAMETERS angstrom
6.120 0.000 0.000
0.000 6.120 0.000
0.000 0.000 6.148
! **Energy relative to the elements**: -0.172 eV/atom
! **E above lowest polymorph**: 0.013 eV/atom
! **Symmetry**: P4/mmm, No. 123
! **Spin magnetization**: 0.000 μB/atom

=====

Q: What is the formula in the fifth record?
A: TbSm6Y2Er3

=====

Q: Which of these has the highest spin magnetization?
A: Ba2PuO5

=====

Q: spin magnetization of number 1 (Ba2PuO5)?
A: 0.250 μB/atom